Arrangement A

VASP calculation (PBE) on SmGaTe after structural relaxation.

Computed properties:
ρ   6.1 g cm⁻³
Crystal system   cubic

Cell: 5.108 5.108 5.108 Å, 60.00 60.00 60.00°
Element x y z (fractional)
1 Sm 0.000 0.000 0.000
2 Ga 0.500 0.500 0.500
3 Te 0.750 0.750 0.750

=====

Arrangement B

VASP calculation (PBE) on SmGaTe after structural relaxation.

Computed properties:
ρ   6.1 g cm⁻³
Crystal system   cubic

Cell: 5.115 5.115 5.115 Å, 60.00 60.00 60.00°
Element x y z (fractional)
1 Sm 0.000 0.000 0.000
2 Ga 0.750 0.750 0.750
3 Te 0.250 0.250 0.250

=====

Of them, arrangement B has the lowest stability.

=====

Arrangement A

VASP calculation (PBE) on SmYGa4 after structural relaxation.

Computed properties:
ρ   6.7 g cm⁻³
Crystal system   orthorhombic

Cell: 5.930 5.930 5.930 Å, 138.15 103.65 91.09°
Element x y z (fractional)
1 Sm 0.000 0.000 0.000
2 Y 0.500 0.500 0.000
3 Ga 0.083 0.750 0.333
4 Ga 0.417 0.750 0.667
5 Ga 0.583 0.250 0.333
6 Ga 0.917 0.250 0.667

=====

Arrangement B

VASP calculation (PBE) on SmYGa4 after structural relaxation.

Computed properties:
ρ   6.9 g cm⁻³
Crystal system   hexagonal

Cell: 4.284 4.284 7.827 Å, 90.00 90.00 120.00°
Element x y z (fractional)
1 Sm 0.000 0.000 0.000
2 Y 0.000 0.000 0.500
3 Ga 0.333 0.667 0.251
4 Ga 0.333 0.667 0.749
5 Ga 0.667 0.333 0.254
6 Ga 0.667 0.333 0.746

=====

Arrangement C

VASP calculation (PBE) on SmYGa4 after structural relaxation.

Computed properties:
ρ   6.8 g cm⁻³
Crystal system   orthorhombic

Cell: 9.697 9.697 6.544 Å, 90.00 90.00 155.54°
Element x y z (fractional)
1 Sm 0.235 0.765 0.750
2 Sm 0.765 0.235 0.250
3 Y 0.089 0.911 0.250
4 Y 0.911 0.089 0.750
5 Ga 0.069 0.931 0.750
6 Ga 0.357 0.643 0.044
7 Ga 0.357 0.643 0.456
8 Ga 0.500 0.500 0.000
9 Ga 0.500 0.500 0.500
10 Ga 0.643 0.357 0.544
11 Ga 0.643 0.357 0.956
12 Ga 0.931 0.069 0.250

=====

Of them, arrangement C has the lowest stability.

=====

Arrangement A

VASP calculation (PBE) on TaGaSn after structural relaxation.

Computed properties:
ρ   9.4 g cm⁻³
Crystal system   cubic

Cell: 4.514 4.514 4.514 Å, 60.00 60.00 60.00°
Element x y z (fractional)
1 Ta 0.000 0.000 0.000
2 Ga 0.750 0.750 0.750
3 Sn 0.500 0.500 0.500

=====

Arrangement B

VASP calculation (PBE) on TaGaSn after structural relaxation.

Computed properties:
ρ   8.8 g cm⁻³
Crystal system   cubic

Cell: 4.615 4.615 4.615 Å, 60.00 60.00 60.00°
Element x y z (fractional)
1 Ta 0.000 0.000 0.000
2 Ga 0.750 0.750 0.750
3 Sn 0.250 0.250 0.250

=====

Of them, arrangement A has the lowest stability.

=====

Arrangement A

VASP calculation (PBE) on GaSnW after structural relaxation.

Computed properties:
ρ   9.5 g cm⁻³
Crystal system   cubic

Cell: 4.520 4.520 4.520 Å, 60.00 60.00 60.00°
Element x y z (fractional)
1 Ga 0.000 0.000 0.000
2 Sn 0.500 0.500 0.500
3 W 0.250 0.250 0.250

=====

Arrangement B

VASP calculation (PBE) on GaSnW after structural relaxation.

Computed properties:
ρ   10.1 g cm⁻³
Crystal system   cubic

Cell: 4.430 4.430 4.430 Å, 60.00 60.00 60.00°
Element x y z (fractional)
1 Ga 0.000 0.000 0.000
2 Sn 0.750 0.750 0.750
3 W 0.250 0.250 0.250

=====

Of them, arrangement B has the lowest stability.